A plane-wave DFT calculation with GGA-PBE was carried out for CaPm6Pr3Nd2 after structural relaxation.

Summary:
crystal system = monoclinic
volume = 35.45 Å³ per atom
ρ = 6.33 Mg/m³
energy of formation = 32.6 meV per atom
spin magnetization = 0.00 μB per formula unit

Unit cell a=6.394 b=6.394 c=12.211 alpha=95.03 beta=95.03 gamma=120.05
Sites, in units of the cell vectors:
Ca: 0.000 0.000 0.000
Pm: 0.084 0.423 0.251
Pm: 0.254 0.254 0.748
Pm: 0.423 0.084 0.251
Pm: 0.577 0.916 0.749
Pm: 0.746 0.746 0.252
Pm: 0.916 0.577 0.749
Pr: 0.166 0.834 0.500
Pr: 0.500 0.500 0.500
Pr: 0.834 0.166 0.500
Nd: 0.333 0.667 0.000
Nd: 0.667 0.333 0.000